# 1
# Nd4OsSBr2

A relaxed structure of Nd4OsSBr2 (PBE-GGA, Alexandria via LeMat-Bulk).

## Properties
Its energy relative to the elements, uncorrected is -1.146 eV per atom. Its crystal system is monoclinic.

Cell lengths 7.429, 4.079, 7.871 Å; angles 90.00, 106.78, 90.00 degrees
Space group P2/m (No. 10)
Inequivalent atoms, fractional coordinates:
Nd  0.219  0.000  0.200 [2 per cell]
Nd  0.260  0.500  0.802 [2 per cell]
Os  0.000  0.500  0.000 [1 per cell]
S  0.500  0.000  0.000 [1 per cell]
Br  0.000  0.000  0.500 [1 per cell]
Br  0.500  0.500  0.500 [1 per cell]



# 2
# Nd6Os2SBr3

A relaxed structure of Nd6Os2SBr3 (PBE-GGA, Alexandria via LeMat-Bulk).

## Properties
Its energy relative to the elements, uncorrected is -1.027 eV per atom. Its crystal system is monoclinic.

Cell lengths 7.236, 12.529, 8.052 Å; angles 90.00, 107.40, 90.00 degrees
Space group C2/m (No. 12)
Inequivalent atoms, fractional coordinates:
Nd  0.218  0.000  0.197 [4 per cell]
Nd  0.239  0.326  0.198 [8 per cell]
Os  0.000  0.167  0.000 [4 per cell]
S  0.000  0.500  0.000 [2 per cell]
Br  0.000  0.000  0.500 [2 per cell]
Br  0.000  0.335  0.500 [4 per cell]



# 3
# Nd6Os2SeBr3

A relaxed structure of Nd6Os2SeBr3 (PBE-GGA, Alexandria via LeMat-Bulk).

## Properties
Its energy relative to the elements, uncorrected is -1.002 eV per atom. Its crystal system is monoclinic.

Cell lengths 7.325, 12.680, 8.041 Å; angles 90.00, 107.65, 90.00 degrees
Space group C2/m (No. 12)
Inequivalent atoms, fractional coordinates:
Nd  0.210  0.000  0.199 [4 per cell]
Nd  0.244  0.322  0.200 [8 per cell]
Os  0.000  0.167  0.000 [4 per cell]
Se  0.000  0.500  0.000 [2 per cell]
Br  0.000  0.000  0.500 [2 per cell]
Br  0.000  0.337  0.500 [4 per cell]